# Pr6NiSn2 (GGA-PBE, relaxed)
# E_form	-3.95	eV/f.u.
data_Pr6NiSn2
_cell_length_a 8.5726
_cell_length_b 8.5726
_cell_length_c 4.2802
_cell_angle_alpha 90.00
_cell_angle_beta 90.00
_cell_angle_gamma 120.00
_symmetry_space_group_name_H-M 'P -6 2 m'
_symmetry_Int_Tables_number 189
_symmetry_space_group_name_Hall 'P -6 -2'
loop_
_atom_site_label
_atom_site_type_symbol
_atom_site_fract_x
_atom_site_fract_y
_atom_site_fract_z
Pr1 Pr 0.0000 0.4150 0.0000
Pr2 Pr 0.0000 0.7633 0.5000
Ni1 Ni 0.0000 0.0000 0.0000
Sn1 Sn 0.3333 0.6667 0.5000